[1]
Material: PaReC2
Method: DFT, GGA-PBE
State: optimized geometry

a b c (Å): 6.1862 5.8432 6.2923
angles (deg): 90.00 90.00 90.00
Atoms (fractional coordinates):
Pa (0.8168, 0.0001, 0.6860)
Pa (0.1832, 0.5001, 0.3140)
Pa (0.6832, 0.5001, 0.1860)
Pa (0.3168, 0.0001, 0.8140)
Re (0.9286, 0.0000, 0.1833)
Re (0.0714, 0.5000, 0.8167)
Re (0.5714, 0.5000, 0.6833)
Re (0.4286, 0.0000, 0.3167)
C (0.6135, 0.0000, 0.0480)
C (0.3865, 0.5000, 0.9520)
C (0.8865, 0.5000, 0.5480)
C (0.1135, 0.0000, 0.4520)
C (0.0000, 0.2501, 0.0000)
C (0.0000, 0.7501, 0.0000)
C (0.5000, 0.7501, 0.5000)
C (0.5000, 0.2501, 0.5000)

- formation energy (eV per atom) = 0.025
- crystal system = orthorhombic
- excess energy over the best structure of this formula in the dataset (eV/atom) = 0.0721

***

[2]
Material: SmThGeP
Method: DFT, GGA-PBE
State: optimized geometry

a b c (Å): 4.2025 4.2025 7.2769
angles (deg): 73.22 73.22 60.00
Atoms (fractional coordinates):
Sm (0.6960, 0.6960, 0.9121)
Th (0.1917, 0.1917, 0.4249)
Ge (0.9443, 0.9443, 0.1670)
P (0.4444, 0.4444, 0.6668)

- formation energy (eV per atom) = -1.162
- crystal system = trigonal

***

[3]
Material: Rb4Ag3Br12
Method: DFT, GGA-PBE
State: optimized geometry

a b c (Å): 10.4702 10.4702 10.4702
angles (deg): 109.47 109.47 109.47
Each line ends with the local moment (μB).
Atoms (fractional coordinates):
Rb (0.5000, 0.5000, 0.5000)  0.00
Rb (0.5000, 0.0000, 0.0000)  0.00
Rb (0.0000, 0.0000, 0.5000)  0.00
Rb (0.0000, 0.5000, 0.0000)  0.00
Ag (0.5000, 0.5000, 0.0000)  0.08
Ag (0.0000, 0.5000, 0.5000)  0.08
Ag (0.5000, 0.0000, 0.5000)  0.08
Br (0.1477, 0.6481, 0.7958)  0.04
Br (0.8523, 0.3519, 0.2042)  0.04
Br (0.1477, 0.3519, 0.4996)  0.04
Br (0.3519, 0.2042, 0.8523)  0.04
Br (0.7958, 0.1477, 0.6481)  0.04
Br (0.5004, 0.8523, 0.6481)  0.04
Br (0.6481, 0.5004, 0.8523)  0.04
Br (0.2042, 0.8523, 0.3519)  0.04
Br (0.8523, 0.6481, 0.5004)  0.04
Br (0.6481, 0.7958, 0.1477)  0.04
Br (0.4996, 0.1477, 0.3519)  0.04
Br (0.3519, 0.4996, 0.1477)  0.04

- crystal system = cubic
- formation energy (no corrections) (eV per atom) = -0.795

***

[4]
Material: HoEr2Pa
Method: DFT, GGA-PBE
State: optimized geometry

a b c (Å): 3.3104 3.3104 12.2721
angles (deg): 82.25 82.25 60.00
Atoms (fractional coordinates):
Pa (0.0000, 0.0000, 0.0000)
Ho (0.5000, 0.5000, 0.5000)
Er (0.0877, 0.0877, 0.7368)
Er (0.9123, 0.9123, 0.2632)

- formation energy (eV per atom) = 0.270
- crystal system = trigonal
- excess energy over the best structure of this formula in the dataset (eV/atom) = 0.1678

***

[5]
Material: Zr2TcH
Method: DFT, GGA-PBE
State: optimized geometry

a b c (Å): 4.5336 4.5336 4.5336
angles (deg): 60.00 60.00 60.00
Atoms (fractional coordinates):
H (0.0000, 0.0000, 0.0000)
Tc (0.5000, 0.5000, 0.5000)
Zr (0.2500, 0.2500, 0.2500)
Zr (0.7500, 0.7500, 0.7500)

- crystal system = cubic
- excess energy over the best structure of this formula in the dataset (eV/atom) = 0.3304

***

[6]
Material: Rb3GeTe4
Method: DFT, GGA-PBE
State: optimized geometry

a b c (Å): 9.0274 9.0274 9.0274
angles (deg): 67.78 130.90 136.34
Atoms (fractional coordinates):
Rb (0.6888, 0.2893, 0.9781)
Rb (0.7877, 0.0000, 0.7877)
Rb (0.6888, 0.7107, 0.3995)
Ge (0.0284, 0.5000, 0.5284)
Te (0.2032, 0.6497, 0.8529)
Te (0.2032, 0.3503, 0.5535)
Te (0.5060, 0.2305, 0.2755)
Te (0.0449, 0.7695, 0.2755)

- crystal system = orthorhombic
- formation energy (no corrections) (eV per atom) = -0.643

***

[7]
Material: LiTiGa
Method: DFT, GGA-PBE
State: optimized geometry

a b c (Å): 8.0920 4.9927 4.9927
angles (deg): 131.94 136.00 44.00
Each line ends with the local moment (μB).
Atoms (fractional coordinates):
Li (0.5651, 0.5794, 0.4206)  0.00
Li (0.4349, 0.4206, 0.5794)  0.00
Ga (0.7483, 0.7415, 0.2585)  -0.02
Ga (0.2517, 0.2585, 0.7415)  -0.02
Ti (0.0945, 0.0711, 0.9289)  0.36
Ti (0.9055, 0.9289, 0.0711)  0.36

- formation energy (eV per atom) = -0.179
- crystal system = monoclinic
- excess energy over the best structure of this formula in the dataset (eV/atom) = 0.1063

***

[8]
Material: InGaHg4Pb
Method: DFT, GGA-PBE
State: optimized geometry

a b c (Å): 6.7376 6.7376 9.9042
angles (deg): 86.27 86.27 56.81
Atoms (fractional coordinates):
In (0.6338, 0.6338, 0.5835)
In (0.3662, 0.3662, 0.4165)
Ga (0.2709, 0.2709, 0.9635)
Ga (0.7291, 0.7291, 0.0365)
Hg (0.1215, 0.1215, 0.5765)
Hg (0.8785, 0.8785, 0.4235)
Hg (0.1651, 0.6680, 0.1271)
Hg (0.6153, 0.6153, 0.2859)
Hg (0.3320, 0.8349, 0.8729)
Hg (0.6680, 0.1651, 0.1271)
Hg (0.3847, 0.3847, 0.7141)
Hg (0.8349, 0.3320, 0.8729)
Pb (0.1380, 0.1380, 0.2365)
Pb (0.8620, 0.8620, 0.7635)

- formation energy (eV per atom) = 0.054
- crystal system = monoclinic

***

| no. | Fermi-level density of states (states/eV/atom) | final energy (eV per atom) |
| --- | --- | --- |
| 1 | 0.71 | -10.07 |
| 2 | 0.41 | -6.70 |
| 3 | 0.51 | -2.51 |
| 4 | 1.40 | -5.53 |
| 5 | 0.85 | -7.52 |
| 6 | 0.13 | -3.15 |
| 7 | 0.74 | -4.46 |
| 8 | 0.32 | -1.47 |